[1]
Entry from Alexandria via LeMat-Bulk: a relaxed structure of CdAu2 (PBE).

Structure (extended XYZ):
```
6
Lattice="4.457 -2.580 0.000 4.457 2.580 0.000 0.000 0.000 4.915" Properties=species:S:1:pos:R:3 pbc="T T T"
Cd 4.457 1.643 3.686
Cd 4.457 -1.643 1.229
Au 2.974 0.907 1.229
Au 5.941 0.907 1.229
Au 2.974 -0.907 3.686
Au 5.941 -0.907 3.686
```

Computed properties:
Crystal system = orthorhombic
DFT formation energy = -0.4 eV/f.u.
Space-group type = Cmcm, No. 63

=====

[2]
Entry from Alexandria via LeMat-Bulk: a relaxed structure of Cd15Au (PBE).

Structure (extended XYZ):
```
16
Lattice="6.124 0.000 0.000 -3.062 5.303 0.000 0.000 0.000 10.697" Properties=species:S:1:pos:R:3 pbc="T T T"
Cd 0.000 0.000 0.000
Cd -1.514 2.661 5.349
Cd 1.521 0.878 2.751
Cd 1.521 0.878 7.947
Cd 0.000 3.536 2.634
Cd 0.000 3.536 8.063
Cd 1.514 2.661 5.349
Cd 0.000 5.284 5.349
Cd 3.062 0.012 0.000
Cd 1.542 2.646 0.000
Cd 4.602 0.878 2.751
Cd 4.602 0.878 7.947
Cd 3.062 3.547 2.751
Cd 3.062 3.547 7.947
Cd 4.582 2.646 0.000
Au 0.000 0.000 5.349
```

Computed properties:
Crystal system = hexagonal
DFT formation energy = -0.4 eV/f.u.
Space-group type = P-6m2, No. 187

=====

[3]
Entry from Alexandria via LeMat-Bulk: a relaxed structure of Cd7Au (PBE).

Structure (extended XYZ):
```
8
Lattice="0.000 4.414 4.414 4.414 0.000 4.414 4.414 4.414 0.000" Properties=species:S:1:pos:R:3 pbc="T T T"
Cd 0.000 0.000 0.000
Cd 2.207 2.207 0.000
Cd 2.207 0.000 2.207
Cd 4.414 2.207 2.207
Cd 0.000 2.207 2.207
Cd 2.207 4.414 2.207
Cd 2.207 2.207 4.414
Au 4.414 4.414 4.414
```

Computed properties:
Energy above the lowest structure with this stoichiometry = 0 meV/atom
Crystal system = cubic
DFT formation energy = -0.3 eV/f.u.
Space-group type = Fm-3m, No. 225

=====

[4]
Entry from Alexandria via LeMat-Bulk: a relaxed structure of Cd22Au (PBE).

Structure (extended XYZ):
```
46
Lattice="0.000 8.107 8.107 8.107 0.000 8.107 8.107 8.107 0.000" Properties=species:S:1:pos:R:3 pbc="T T T"
Cd 0.000 0.000 0.000
Cd 4.054 4.054 0.000
Cd 4.054 0.000 4.054
Cd 8.107 4.054 4.054
Cd 6.080 6.080 0.268
Cd 6.080 0.268 6.080
Cd 11.893 6.080 6.080
Cd 5.064 5.064 2.965
Cd 7.096 7.096 2.965
Cd 5.064 2.965 5.064
Cd 9.195 7.096 5.064
Cd 7.096 2.965 7.096
Cd 9.195 5.064 7.096
Cd 10.134 10.134 4.321
Cd 10.134 4.321 10.134
Cd 15.946 10.134 10.134
Cd 11.150 9.118 7.019
Cd 11.150 7.019 9.118
Cd 13.249 9.118 9.118
Cd 2.965 5.064 5.064
Cd 7.096 9.195 5.064
Cd 7.096 5.064 9.195
Cd 0.000 4.054 4.054
Cd 4.054 8.107 4.054
Cd 4.054 4.054 8.107
Cd 8.107 8.107 8.107
Cd 9.118 11.150 7.019
Cd 9.118 7.019 11.150
Cd 13.249 11.150 11.150
Cd 2.965 7.096 7.096
Cd 5.064 9.195 7.096
Cd 5.064 7.096 9.195
Cd 0.268 6.080 6.080
Cd 6.080 11.893 6.080
Cd 6.080 6.080 11.893
Cd 7.019 11.150 9.118
Cd 9.118 13.249 9.118
Cd 7.019 9.118 11.150
Cd 11.150 13.249 11.150
Cd 9.118 9.118 13.249
Cd 11.150 11.150 13.249
Cd 4.321 10.134 10.134
Cd 10.134 15.946 10.134
Cd 10.134 10.134 15.946
Au 6.080 6.080 6.080
Au 10.134 10.134 10.134
```

Computed properties:
Crystal system = cubic
DFT formation energy = 1.7 eV/f.u.
Space-group type = Fd-3m, No. 227

=====

[5]
Entry from Alexandria via LeMat-Bulk: a relaxed structure of Cd2Au (PBE).

Structure (extended XYZ):
```
9
Lattice="7.969 0.000 0.000 -3.984 6.901 0.000 0.000 0.000 3.396" Properties=species:S:1:pos:R:3 pbc="T T T"
Cd -1.146 1.985 0.000
Cd -2.477 4.290 1.698
Cd 2.293 0.000 0.000
Cd 1.508 2.611 1.698
Cd 4.954 0.000 1.698
Cd 2.838 4.916 0.000
Au 0.000 0.000 1.698
Au 0.000 4.601 0.000
Au 3.984 2.300 0.000
```

Computed properties:
Crystal system = hexagonal
DFT formation energy = -0.5 eV/f.u.
Space-group type = P-62m, No. 189

=====

[6]
Entry from Alexandria via LeMat-Bulk: a relaxed structure of CdAu2 (PBE).

Structure (extended XYZ):
```
3
Lattice="-1.547 1.547 5.923 1.547 -1.547 5.923 1.547 1.547 -5.923" Properties=species:S:1:pos:R:3 pbc="T T T"
Cd 0.000 0.000 0.000
Au 0.000 0.000 3.951
Au 0.000 0.000 7.896
```

Computed properties:
Crystal system = tetragonal
DFT formation energy = -0.3 eV/f.u.
Space-group type = I4/mmm, No. 139